Entry from Alexandria via LeMat-Bulk: MnTlSi2H after structural relaxation (PBE).

```
MnTlSi2H
1.0
4.0120 0.0000 0.0000
0.0000 4.0120 0.0000
0.0000 0.0000 4.7770
Mn Tl Si H
1 1 2 1
direct
0.0000 0.0000 0.0000
0.5000 0.5000 0.0000
0.0000 0.5000 0.5000
0.5000 0.0000 0.5000
0.5000 0.5000 0.5000
```

Properties
The density of states at the Fermi level is 0.437 states/eV per atom. Its crystal system is tetragonal. The total energy comes out at -22.4 eV/cell.

***

Entry from Alexandria via LeMat-Bulk: PuU3C4 after structural relaxation (PBE).

```
PuU3C4
1.0
-2.4782 2.4782 4.9228
2.4782 -2.4782 4.9228
2.4782 2.4782 -4.9228
Pu U C
1 3 4
direct
0.0000 0.0000 0.0000
0.2500 0.7500 0.5000
0.5000 0.5000 0.0000
0.7500 0.2500 0.5000
0.0000 0.5000 0.5000
0.2580 0.2580 0.0000
0.5000 0.0000 0.5000
0.7420 0.7420 0.0000
```

Properties
The density of states at the Fermi level is 1.718 states/eV per atom. Its crystal system is tetragonal. As for the formation energy: -56.9 kJ/mol of formula units.

***

Entry from Alexandria via LeMat-Bulk: CaCdO2F after structural relaxation (PBE).

```
CaCdO2F
1.0
4.3911 0.0000 0.0000
0.0000 4.3911 0.0000
0.0000 0.0000 4.2413
Ca Cd O F
1 1 2 1
direct
0.0000 0.0000 0.0000
0.5000 0.5000 0.5000
0.0000 0.5000 0.0000
0.5000 0.0000 0.0000
0.0000 0.0000 0.5000
```

Properties
The uncorrected formation energy is -1.3568 eV per atom. The density of states at the Fermi level is 0.334 states/eV per atom. Its crystal system is tetragonal.

***

Entry from Alexandria via LeMat-Bulk: TiCoCuSn after structural relaxation (PBE).

```
TiCoCuSn
1.0
0.0000 3.0779 3.0779
3.0779 0.0000 3.0779
3.0779 3.0779 0.0000
Ti Co Cu Sn
1 1 1 1
direct
0.0000 0.0000 0.0000
0.2500 0.2500 0.2500
0.7500 0.7500 0.7500
0.5000 0.5000 0.5000
```

Properties
The density of states at the Fermi level is 0.393 states/eV per atom. Its crystal system is cubic. As for the formation energy: -96.2 kJ/mol of formula units.